# 1
# InGaRe2

Crystalline InGaRe2 at its relaxed geometry (GGA-PBE, Alexandria via LeMat-Bulk).

Unit cell a=9.8509 b=9.8509 c=9.8509 alpha=156.48 beta=156.48 gamma=33.51
Atoms (fractional coordinates):
In: 0.0000 0.0000 0.0000
In: 0.7500 0.2500 0.5000
Ga: 0.2500 0.7500 0.5000
Ga: 0.5000 0.5000 0.0000
Re: 0.2050 0.6250 0.0800
Re: 0.3750 0.4550 0.5800
Re: 0.5450 0.1250 0.9200
Re: 0.8750 0.7950 0.4200

Its symmetry is No. 122. The formation energy is 631 meV/atom.

***

# 2
# Li3Tb2SbS6

Crystalline Li3Tb2SbS6 at its relaxed geometry (GGA-PBE, Alexandria via LeMat-Bulk).

Unit cell a=6.8106 b=6.8106 c=6.5821 alpha=99.87 beta=99.87 gamma=120.05
Atoms (fractional coordinates):
Li: 0.0000 0.0000 0.0000
Li: 0.3416 0.6584 0.0000
Li: 0.6584 0.3416 0.0000
Tb: 0.1674 0.8326 0.5000
Tb: 0.8326 0.1674 0.5000
Sb: 0.5000 0.5000 0.5000
S: 0.0837 0.4161 0.2476
S: 0.2503 0.2503 0.7515
S: 0.4161 0.0837 0.2476
S: 0.5839 0.9163 0.7524
S: 0.7497 0.7497 0.2485
S: 0.9163 0.5839 0.7524

The value obtained for the raw formation energy is -1.449 eV per atom. Its symmetry is No. 12.

***

# 3
# CeAlCdCu

Crystalline CeAlCdCu at its relaxed geometry (GGA-PBE, Alexandria via LeMat-Bulk).

Unit cell a=4.8610 b=4.8610 c=4.8610 alpha=60.00 beta=60.00 gamma=60.00
Atoms (fractional coordinates):
Ce: 0.0000 0.0000 0.0000
Al: 0.2500 0.2500 0.2500
Cd: 0.5000 0.5000 0.5000
Cu: 0.7500 0.7500 0.7500

Its symmetry is No. 216. The formation energy is -164 meV/atom.

***

# 4
# NaUPS

Crystalline NaUPS at its relaxed geometry (GGA-PBE, Alexandria via LeMat-Bulk).

Unit cell a=7.1349 b=7.1349 c=7.1349 alpha=32.66 beta=32.66 gamma=32.66
Atoms (fractional coordinates):
Na: 0.0000 0.0000 0.0000
U: 0.5048 0.5048 0.5048
P: 0.2420 0.2420 0.2420
S: 0.7634 0.7634 0.7634

The value obtained for the raw formation energy is -0.997 eV per atom. Its symmetry is No. 160.

***

# 5
# GeAuNO2

Crystalline GeAuNO2 at its relaxed geometry (GGA-PBE, Alexandria via LeMat-Bulk).

Unit cell a=3.7021 b=3.7021 c=4.0650 alpha=90.00 beta=90.00 gamma=90.00
Atoms (fractional coordinates):
Ge: 0.0000 0.0000 0.0000
Au: 0.5000 0.5000 0.5000
N: 0.0000 0.0000 0.5000
O: 0.0000 0.5000 0.0000
O: 0.5000 0.0000 0.0000

The value obtained for the raw formation energy is 0.314 eV per atom. Its symmetry is No. 123.

***

# 6
# TcNi8Ir2

Crystalline TcNi8Ir2 at its relaxed geometry (GGA-PBE, Alexandria via LeMat-Bulk).

Unit cell a=4.4214 b=4.4409 c=6.8172 alpha=90.39 beta=96.67 gamma=99.46
Atoms (fractional coordinates):
Tc: 0.0000 0.0000 0.0000
Ni: 0.0886 0.1818 0.3648
Ni: 0.2737 0.5457 0.0923
Ni: 0.3684 0.7314 0.4517
Ni: 0.4562 0.9067 0.8184
Ni: 0.5438 0.0933 0.1816
Ni: 0.6316 0.2686 0.5483
Ni: 0.7263 0.4543 0.9077
Ni: 0.9114 0.8182 0.6352
Ir: 0.1809 0.3641 0.7260
Ir: 0.8191 0.6359 0.2740

Its symmetry is No. 2. The formation energy is 8 meV/atom.

***

# 7
# LiLaAl

Crystalline LiLaAl at its relaxed geometry (GGA-PBE, Alexandria via LeMat-Bulk).

Unit cell a=5.8167 b=5.8167 c=5.8167 alpha=121.88 beta=117.26 gamma=90.79
Atoms (fractional coordinates):
Li: 0.5000 0.0000 0.0000
Li: 0.5000 0.5000 0.5000
La: 0.1075 0.3575 0.7500
La: 0.8925 0.6425 0.2500
Al: 0.0000 0.0000 0.0000
Al: 0.5000 0.0000 0.5000

Its symmetry is No. 74. The formation energy is -236 meV/atom.

***

# 8
# DyGa2O4

Crystalline DyGa2O4 at its relaxed geometry (GGA-PBE, Alexandria via LeMat-Bulk).

Unit cell a=4.5269 b=4.5269 c=5.3270 alpha=90.00 beta=90.00 gamma=90.00
Atoms (fractional coordinates):
Dy: 0.0000 0.0000 0.0000
Ga: 0.0000 0.5000 0.5000
Ga: 0.5000 0.0000 0.5000
O: 0.2423 0.2423 0.2930
O: 0.2423 0.7577 0.7070
O: 0.7577 0.2423 0.7070
O: 0.7577 0.7577 0.2930

The value obtained for the raw formation energy is -2.062 eV per atom. Its symmetry is No. 111.

***

# 9
# CdHg2Pb

Crystalline CdHg2Pb at its relaxed geometry (GGA-PBE, Alexandria via LeMat-Bulk).

Unit cell a=3.4352 b=3.4352 c=10.1407 alpha=90.00 beta=90.00 gamma=114.35
Atoms (fractional coordinates):
Cd: 0.0000 0.0000 0.0000
Hg: 0.0000 0.0000 0.5248
Hg: 0.5000 0.5000 0.7669
Pb: 0.5000 0.5000 0.2588

Its symmetry is No. 35. The formation energy is 51 meV/atom.

***

# 10
# Th3Cu2Sn2

Crystalline Th3Cu2Sn2 at its relaxed geometry (GGA-PBE, Alexandria via LeMat-Bulk).

Unit cell a=10.0971 b=10.0971 c=10.0971 alpha=155.70 beta=154.85 gamma=35.26
Atoms (fractional coordinates):
Th: 0.0000 0.0000 0.0000
Th: 0.3123 0.8123 0.5000
Th: 0.6877 0.1877 0.5000
Cu: 0.4382 0.4382 0.0000
Cu: 0.5618 0.5618 0.0000
Sn: 0.1383 0.6383 0.5000
Sn: 0.8617 0.3617 0.5000

Its symmetry is No. 71. The formation energy is -392 meV/atom.

***

# 11
# U2Tl2TeSe6

Crystalline U2Tl2TeSe6 at its relaxed geometry (GGA-PBE, Alexandria via LeMat-Bulk).

Unit cell a=7.6532 b=7.6532 c=7.7199 alpha=93.16 beta=93.16 gamma=127.48
Atoms (fractional coordinates):
U: 0.1591 0.8409 0.0000
U: 0.8409 0.1591 0.0000
Tl: 0.3705 0.6295 0.5000
Tl: 0.6295 0.3705 0.5000
Te: 0.5000 0.5000 0.0000
Se: 0.0115 0.4690 0.7690
Se: 0.1704 0.1704 0.2037
Se: 0.4690 0.0115 0.7690
Se: 0.5310 0.9885 0.2310
Se: 0.8296 0.8296 0.7963
Se: 0.9885 0.5310 0.2310

The value obtained for the raw formation energy is -0.689 eV per atom. Its symmetry is No. 12.

***

# 12
# CoMoOs

Crystalline CoMoOs at its relaxed geometry (GGA-PBE, Alexandria via LeMat-Bulk).

Unit cell a=4.7561 b=4.7561 c=4.7561 alpha=141.34 beta=141.34 gamma=55.83
Atoms (fractional coordinates):
Co: 0.0000 0.0000 0.0000
Mo: 0.6601 0.6601 0.0000
Os: 0.3305 0.3305 0.0000

Its symmetry is No. 107. The formation energy is 217 meV/atom.

***

no.,magnetization (μB/f.u.)
1,0.00
2,0.00
3,0.56
4,2.00
5,0.00
6,2.49
7,0.00
8,0.00
9,0.00
10,0.00
11,1.98
12,1.57